A relaxed TlNi2Se3 crystal, computed with PBE.

Output
Total DFT energy (no corrections) ... -4.25 eV per atom
Total magnetic moment ... 0.00 μB/cell

Cell lengths 3.603, 13.451, 10.291 Å; angles 90.00, 90.00, 90.00 degrees
Space group Cmcm (No. 63)
Asymmetric unit:
Tl: 0.000 0.235 0.250
Ni: 0.000 0.097 0.750
Ni: 0.000 0.500 0.000
Se: 0.000 0.117 0.524
Se: 0.000 0.484 0.750

=====

A relaxed RbSnMo crystal, computed with PBE.

Output
Total DFT energy (no corrections) ... -4.04 eV per atom
Total magnetic moment ... 12.00 μB/cell

Cell lengths 7.243, 7.243, 7.243 Å; angles 90.00, 90.00, 90.00 degrees
Space group F-43m (No. 216)
Asymmetric unit:
Rb: 0.000 0.000 0.000
Sn: 0.000 0.000 0.500
Mo: 0.250 0.250 0.250

=====

A relaxed NaZrSbOs crystal, computed with PBE.

Output
Total DFT energy (no corrections) ... -6.44 eV per atom
Total magnetic moment ... 0.00 μB/cell

Cell lengths 6.629, 6.629, 6.629 Å; angles 90.00, 90.00, 90.00 degrees
Space group F-43m (No. 216)
Asymmetric unit:
Na: 0.000 0.000 0.000
Zr: 0.250 0.250 0.750
Sb: 0.250 0.250 0.250
Os: 0.000 0.000 0.500

=====

A relaxed Ag2N crystal, computed with PBE.

Output
Total DFT energy (no corrections) ... -3.57 eV per atom

Cell lengths 5.220, 5.220, 3.468 Å; angles 90.00, 90.00, 90.00 degrees
Space group P4_2/mnm (No. 136)
Asymmetric unit:
Ag: 0.201 0.201 0.000
N: 0.000 0.000 0.500